(1)
# La8InRh3Br4 PBE relaxed
# uncorrected energy: -0.402 Ry/atom
# DOS(E_F): 43.238 states/eV per cell
data_La8InRh3Br4
_chemical_formula_sum 'La24 In3 Rh9 Br12'
_cell_length_a 8.6264
_cell_length_b 8.6264
_cell_length_c 23.5219
_cell_angle_alpha 90.00
_cell_angle_beta 90.00
_cell_angle_gamma 120.00
_space_group_name_H-M_alt 'R -3 m'
_space_group_IT_number 166
_space_group_name_Hall '-R 3 2"'
loop_
_atom_site_label
_atom_site_fract_x
_atom_site_fract_y
_atom_site_fract_z
La1 0.0000 0.0000 0.2350
La2 0.0249 0.5124 0.7660
In1 0.0000 0.0000 0.5000
Rh1 0.0000 0.5000 0.5000
Br1 0.0000 0.0000 0.0000
Br2 0.0000 0.5000 0.0000

(2)
# Tm8PuTh6 PBE relaxed
# uncorrected energy: -0.454 Ry/atom
# E_form: 0.13 eV per atom
# DOS(E_F): 69.018 states/eV per cell
data_Tm8PuTh6
_chemical_formula_sum 'Tm24 Pu3 Th18'
_cell_length_a 8.7809
_cell_length_b 8.7809
_cell_length_c 20.7853
_cell_angle_alpha 90.00
_cell_angle_beta 90.00
_cell_angle_gamma 120.00
_space_group_name_H-M_alt 'R -3'
_space_group_IT_number 148
_space_group_name_Hall '-R 3'
loop_
_atom_site_label
_atom_site_fract_x
_atom_site_fract_y
_atom_site_fract_z
Tm1 0.0000 0.0000 0.0788
Tm2 0.0637 0.8130 0.6353
Pu1 0.0000 0.0000 0.5000
Th1 0.0381 0.2597 0.2052

(3)
# Tb6Pm7 PBE relaxed
# uncorrected energy: -0.327 Ry/atom
# E_form: 0.25 eV per atom
# DOS(E_F): 84.819 states/eV per cell
data_Tb6Pm7
_chemical_formula_sum 'Tb18 Pm21'
_cell_length_a 6.6507
_cell_length_b 6.6507
_cell_length_c 34.5860
_cell_angle_alpha 90.00
_cell_angle_beta 90.00
_cell_angle_gamma 120.00
_space_group_name_H-M_alt 'R -3 m'
_space_group_IT_number 166
_space_group_name_Hall '-R 3 2"'
loop_
_atom_site_label
_atom_site_fract_x
_atom_site_fract_y
_atom_site_fract_z
Tb1 0.0000 0.0000 0.0455
Tb2 0.0000 0.0000 0.1476
Tb3 0.0000 0.0000 0.3348
Pm1 0.0000 0.0000 0.5000
Pm2 0.0120 0.5060 0.9122

(4)
# Mg3SnPt PBE relaxed
# energy above the most stable polymorph in this dataset: 51 meV per atom
# uncorrected energy: -0.247 Ry/atom
# E_form: -0.40 eV per atom
# DOS(E_F): 8.546 states/eV per cell
data_Mg3SnPt
_chemical_formula_sum 'Mg12 Sn4 Pt4'
_cell_length_a 10.692
_cell_length_b 8.194
_cell_length_c 6.931
_cell_angle_alpha 90.00
_cell_angle_beta 130.26
_cell_angle_gamma 90.00
_space_group_name_H-M_alt 'C 1 2/m 1'
_space_group_IT_number 12
loop_
_space_group_symop_operation_xyz
'x,y,z'
'-x,-y,-z'
'-x,y,-z'
'x,-y,z'
'x+1/2,y+1/2,z'
'-x+1/2,-y+1/2,-z'
'-x+1/2,y+1/2,-z'
'x+1/2,-y+1/2,z'
loop_
_atom_site_label
_atom_site_fract_x
_atom_site_fract_y
_atom_site_fract_z
Mg1 0.055 0.000 0.259
Mg2 0.221 0.311 0.174
Sn1 0.083 0.500 0.367
Pt1 0.242 0.500 0.874

(5)
# La3TbIn12 PBE relaxed
# uncorrected energy: -0.275 Ry/atom
# E_form: -0.47 eV per atom
# DOS(E_F): 9.608 states/eV per cell
data_La3TbIn12
_chemical_formula_sum 'La3 Tb1 In12'
_cell_length_a 4.752
_cell_length_b 4.752
_cell_length_c 19.037
_cell_angle_alpha 90.00
_cell_angle_beta 90.00
_cell_angle_gamma 90.00
_space_group_name_H-M_alt 'P 4/m m m'
_space_group_IT_number 123
_space_group_name_Hall '-P 4 2'
loop_
_atom_site_label
_atom_site_fract_x
_atom_site_fract_y
_atom_site_fract_z
La1 0.000 0.000 0.000
La2 0.000 0.000 0.254
Tb1 0.000 0.000 0.500
In1 0.000 0.500 0.127
In2 0.000 0.500 0.380
In3 0.500 0.500 0.000
In4 0.500 0.500 0.251
In5 0.500 0.500 0.500

(6)
# CaLaF PBE relaxed
# energy above the most stable polymorph in this dataset: 57 meV per atom
# uncorrected energy: -0.330 Ry/atom
# DOS(E_F): 12.006 states/eV per cell
data_CaLaF
_chemical_formula_sum 'Ca4 La4 F4'
_cell_length_a 14.576
_cell_length_b 3.487
_cell_length_c 6.414
_cell_angle_alpha 90.00
_cell_angle_beta 90.00
_cell_angle_gamma 90.00
_space_group_name_H-M_alt 'A m m 2'
_space_group_IT_number 38
loop_
_space_group_symop_operation_xyz
'x,y,z'
'-x,-y,z'
'-x,y,z'
'x,-y,z'
'x,y+1/2,z+1/2'
'-x,-y+1/2,z+1/2'
'-x,y+1/2,z+1/2'
'x,-y+1/2,z+1/2'
loop_
_atom_site_label
_atom_site_fract_x
_atom_site_fract_y
_atom_site_fract_z
Ca1 0.000 0.000 0.000
Ca2 0.500 0.000 0.095
La1 0.219 0.000 0.307
F1 0.416 0.000 0.773

What did we get for M_tot? Answer: 0.000; 5.837; 0.026; 0.000; 0.000; 0.434 μB/f.u., in the order shown.